K3In8Au3 after structural relaxation, computed with PBE.

Lattice parameters (Å, degrees): 17.845 5.199 9.812 90.00 123.09 90.00
Space group C2/m (No. 12)
Symmetry-distinct sites (fractional):
K  0.000  0.000  0.000
K  0.216  0.500  0.715
In  0.003  0.500  0.672
In  0.137  0.000  0.432
In  0.149  0.000  0.850
In  0.158  0.500  0.287
Au  0.000  0.000  0.500
Au  0.155  0.500  0.997

The size of the total moment comes out at 0.00 μB/f.u. Its total energy is -75.9 eV/cell.